DFT (PBE-GGA) results for crystalline Nd4SiBiC at its relaxed geometry.

a = 7.0232 Å, b = 16.0937 Å, c = 7.0491 Å
α = 90.00°, β = 90.00°, γ = 90.00°
Closest atoms and distances in Å follow each position.
Space group Cmcm (No. 63)
Asymmetric unit:
Nd1 0.0000 0.0801 0.2500 (multiplicity 4)  1 C 2.62
Nd2 0.0000 0.4071 0.2500 (multiplicity 4)  1 C 2.64
Nd3 0.2500 0.2500 0.0000 (multiplicity 8)  2 C 2.49
Si1 0.0000 0.1174 0.7500 (multiplicity 4)  7 Nd 3.18-3.53
Bi1 0.0000 0.3941 0.7500 (multiplicity 4)  9 Nd 3.20-3.54
C1 0.0000 0.2429 0.2500 (multiplicity 4)  6 Nd 2.49-2.64

Calculated values
Total energy ... -163.05 eV/cell

=====

DFT (PBE-GGA) results for crystalline NdSm2BiC at its relaxed geometry.

a = 5.0502 Å, b = 5.0502 Å, c = 5.1358 Å
α = 90.00°, β = 90.00°, γ = 90.00°
Closest atoms and distances in Å follow each position.
Space group P4/mmm (No. 123)
Asymmetric unit:
Nd1 0.0000 0.0000 0.0000 (multiplicity 1)  2 C 2.57
Sm1 0.0000 0.5000 0.5000 (multiplicity 2)  2 C 2.53
Bi1 0.5000 0.5000 0.0000 (multiplicity 1)  4 Nd 3.57, 8 Sm 3.60
C1 0.0000 0.0000 0.5000 (multiplicity 1)  4 Sm 2.53, 2 Nd 2.57

Calculated values
ΔE_f ... -468 meV per atom

=====

DFT (PBE-GGA) results for crystalline Nd2Sm2Bi2C at its relaxed geometry.

a = 4.9883 Å, b = 4.9883 Å, c = 16.5704 Å
α = 90.00°, β = 90.00°, γ = 90.00°
Closest atoms and distances in Å follow each position.
Space group I4/mmm (No. 139)
Asymmetric unit:
Nd1 0.0000 0.0000 0.1559 (multiplicity 4)  1 C 2.58
Sm1 0.0000 0.5000 0.0000 (multiplicity 4)  2 C 2.49
Bi1 0.0000 0.0000 0.3585 (multiplicity 4)  5 Nd 3.36-3.54, 4 Sm 3.42
C1 0.0000 0.0000 0.0000 (multiplicity 2)  4 Sm 2.49, 2 Nd 2.58

Calculated values
ΔE_f ... -628 meV per atom

=====

DFT (PBE-GGA) results for crystalline Tb2Nd2Bi2C at its relaxed geometry.

a = 4.8912 Å, b = 4.8912 Å, c = 16.5709 Å
α = 90.00°, β = 90.00°, γ = 90.00°
Closest atoms and distances in Å follow each position.
Space group I4/mmm (No. 139)
Asymmetric unit:
Tb1 0.0000 0.5000 0.0000 (multiplicity 4)  2 C 2.45
Nd1 0.0000 0.0000 0.1578 (multiplicity 4)  1 C 2.61
Bi1 0.0000 0.0000 0.3603 (multiplicity 4)  5 Nd 3.36-3.47, 4 Tb 3.37
C1 0.0000 0.0000 0.0000 (multiplicity 2)  4 Tb 2.45, 2 Nd 2.61

Calculated values
ΔE_f ... -680 meV per atom

=====

DFT (PBE-GGA) results for crystalline Nd2Tm2Bi2C at its relaxed geometry.

a = 4.7939 Å, b = 4.7939 Å, c = 16.5670 Å
α = 90.00°, β = 90.00°, γ = 90.00°
Closest atoms and distances in Å follow each position.
Space group I4/mmm (No. 139)
Asymmetric unit:
Nd1 0.0000 0.0000 0.1598 (multiplicity 4)  1 C 2.65
Tm1 0.0000 0.5000 0.0000 (multiplicity 4)  2 C 2.40
Bi1 0.0000 0.0000 0.3622 (multiplicity 4)  4 Tm 3.31, 5 Nd 3.35-3.41
C1 0.0000 0.0000 0.0000 (multiplicity 2)  4 Tm 2.40, 2 Nd 2.65

Calculated values
ΔE_f ... -715 meV per atom

=====

DFT (PBE-GGA) results for crystalline NdY2BiC at its relaxed geometry.

a = 4.9269 Å, b = 4.9269 Å, c = 5.1662 Å
α = 90.00°, β = 90.00°, γ = 90.00°
Closest atoms and distances in Å follow each position.
Space group P4/mmm (No. 123)
Asymmetric unit:
Nd1 0.0000 0.0000 0.0000 (multiplicity 1)  2 C 2.58
Y1 0.0000 0.5000 0.5000 (multiplicity 2)  2 C 2.46
Bi1 0.5000 0.5000 0.0000 (multiplicity 1)  4 Nd 3.48, 8 Y 3.57
C1 0.0000 0.0000 0.5000 (multiplicity 1)  4 Y 2.46, 2 Nd 2.58

Calculated values
ΔE_f ... -519 meV per atom